Entry from the Alexandria database: V6Ru2W after structural relaxation (PBE).

Lattice parameters (Å, degrees): 4.2961 4.2961 7.7804 90.00 90.00 120.00
Space group P-3m1 (No. 164)
Inequivalent atoms, fractional coordinates:
V 0.0000 0.0000 0.1616 (multiplicity 2)
V 0.3333 0.6667 0.3873 (multiplicity 2)
V 0.3333 0.6667 0.7276 (multiplicity 2)
Ru 0.3333 0.6667 0.0686 (multiplicity 2)
W 0.0000 0.0000 0.5000 (multiplicity 1)

Values from the calculation:
Offset from the most stable computed form   0 meV/atom

Entry from the Alexandria database: V7Ru2W3 after structural relaxation (PBE).

Lattice parameters (Å, degrees): 4.272 20.323 4.254 90.00 90.00 90.00
Space group Cmmm (No. 65)
Inequivalent atoms, fractional coordinates:
V 0.000 0.000 0.000 (multiplicity 2)
V 0.000 0.076 0.500 (multiplicity 4)
V 0.000 0.283 0.000 (multiplicity 4)
V 0.000 0.426 0.000 (multiplicity 4)
Ru 0.000 0.150 0.000 (multiplicity 4)
W 0.000 0.350 0.500 (multiplicity 4)
W 0.000 0.500 0.500 (multiplicity 2)

| no. | mass density (g/cm³) | ΔH_f (0 K) (meV per atom) |
| --- | --- | --- |
| 1 | 9.24 | -160 |
| 2 | 9.98 | 235 |